Computed, not measured: an optimized crystal structure of NdFe2MoO6 at the PBE with a Hubbard U level of DFT.

abc: 5.455 5.498 5.777
angles: 61.48 63.93 61.01
Each line ends with the local moment (μB).
Atoms (fractional coordinates):
O 0.707 0.152 0.759  0.06
O 0.155 0.374 0.768  0.02
O 0.576 0.239 0.233  -0.02
O 0.942 0.581 0.228  0.05
O 0.232 0.933 0.243  0.07
O 0.379 0.710 0.767  0.05
Fe 0.523 0.536 0.430  3.76
Fe 0.021 0.010 0.949  3.75
Nd 0.808 0.802 0.591  0.01
Mo 0.318 0.326 0.046  1.02

Output
- SG: P1, No. 1
- Electronic total energy: -72.40 eV/f.u.